A plane-wave DFT calculation with PBE+U was carried out for a geometry-optimized SrSm2MoO8 structure.

N(E_F): 0.00 states/eV per cell
raw total energy: -7.245 eV per atom

a b c (Å): 5.400 4.274 7.043
angles (deg): 72.59 89.51 90.40
Positions (direct):
Mo  0.000  0.000  0.000
Sm  0.513  0.628  0.203
O  0.242  0.190  0.131
O  0.713  0.191  0.097
O  0.036  0.353  0.747
Sm  0.487  0.372  0.797
O  0.496  0.827  0.498
Sr  0.000  0.000  0.500
O  0.964  0.647  0.253
O  0.287  0.809  0.903
O  0.504  0.173  0.502
O  0.758  0.810  0.869